A relaxed structure of HfVGeO6. Source: the Alexandria database, functional GGA+U.

For the total energy, the calculation gives -8.096 eV per atom. Its symmetry is P4_2nm, No. 102.

a b c (Å): 4.631 4.631 9.167
angles (deg): 90.00 90.00 90.00
Each line ends with the local moment (μB).
Fractional positions:
1 O 0.294 0.294 0.338  -0.01
2 Ge 0.000 0.000 0.333  0.02
3 O 0.706 0.706 0.338  -0.01
4 Hf 0.500 0.500 0.170  0.01
5 O 0.206 0.794 0.838  -0.01
6 O 0.202 0.798 0.490  -0.02
7 O 0.684 0.684 0.670  -0.02
8 O 0.184 0.816 0.170  -0.02
9 O 0.316 0.316 0.670  -0.02
10 O 0.816 0.184 0.170  -0.02
11 V 0.500 0.500 0.502  1.04
12 O 0.798 0.202 0.490  -0.02
13 V 0.000 0.000 0.002  1.04
14 O 0.794 0.206 0.838  -0.01
15 O 0.702 0.702 0.990  -0.02
16 Hf 0.000 0.000 0.670  0.01
17 O 0.298 0.298 0.990  -0.02
18 Ge 0.500 0.500 0.833  0.02